Compound: LiFe2Hg
Source: Alexandria via LeMat-Bulk
Functional: PBE
Structure: optimized geometry

The structure in POSCAR format:
```
LiFe2Hg
1.0
-1.8124 1.8124 4.2994
1.8124 -1.8124 4.2994
1.8124 1.8124 -4.2994
Li Fe Hg
1 2 1
direct
0.0000 0.0000 0.0000
0.2500 0.7500 0.5000
0.7500 0.2500 0.5000
0.5000 0.5000 0.0000
```

**Space-group type**: I4/mmm (139)
**E_tot**: -18.3 eV/f.u.
**Size of the total moment**: 1.267 μB/atom
**E_form**: 0.21 eV per atom



Compound: NaSO3
Source: Alexandria via LeMat-Bulk
Functional: PBE
Structure: optimized geometry

The structure in POSCAR format:
```
NaSO3
1.0
5.4075 0.0000 0.0000
-2.7037 4.6830 0.0000
0.0000 0.0000 5.6982
Na S O
2 2 6
direct
0.3333 0.6667 0.0014
0.6667 0.3333 0.9986
0.0000 0.0000 0.3065
0.0000 0.0000 0.6935
0.0011 0.7373 0.7588
0.2627 0.2637 0.7588
0.2637 0.0011 0.2412
0.7363 0.9989 0.7588
0.7373 0.7363 0.2412
0.9989 0.2627 0.2412
```

**Space-group type**: P-3 (147)
**E_tot**: -28.1 eV/f.u.
**Size of the total moment**: 0.000 μB/atom
**Formation energy from raw total energies**: -1.56 eV per atom



Compound: Rb9O2
Source: Alexandria via LeMat-Bulk
Functional: PBE
Structure: optimized geometry

The structure in POSCAR format:
```
Rb9O2
1.0
8.3362 0.0000 0.0000
0.0000 14.0730 0.0000
-2.9108 0.0000 11.4233
Rb O
18 4
direct
0.0264 0.2500 0.3922
0.0578 0.6215 0.3166
0.0578 0.8785 0.3166
0.1563 0.2500 0.9943
0.2703 0.6087 0.0393
0.2703 0.8913 0.0393
0.3938 0.6090 0.6343
0.3938 0.8910 0.6343
0.4389 0.7500 0.3427
0.5611 0.2500 0.6573
0.6062 0.1090 0.3657
0.6062 0.3910 0.3657
0.7297 0.1087 0.9607
0.7297 0.3913 0.9607
0.8437 0.7500 0.0057
0.9422 0.1215 0.6834
0.9422 0.3785 0.6834
0.9736 0.7500 0.6078
0.1516 0.7500 0.1552
0.2230 0.7500 0.4958
0.7770 0.2500 0.5042
0.8484 0.2500 0.8448
```

**Space-group type**: P2_1/m (11)
**E_tot**: -24.6 eV/f.u.
**Size of the total moment**: 0.000 μB/atom
**Formation energy from raw total energies**: -0.54 eV per atom



Compound: CaSi2Au
Source: Alexandria via LeMat-Bulk
Functional: PBE
Structure: optimized geometry

The structure in POSCAR format:
```
CaSi2Au
1.0
3.6922 -2.0190 0.0000
3.6922 2.0190 0.0000
-2.1758 0.0000 5.5071
Ca Si Au
1 2 1
direct
0.0000 0.0000 0.0000
0.2245 0.2245 0.6600
0.7755 0.7755 0.3400
0.5000 0.5000 0.5000
```

**Space-group type**: C2/m (12)
**E_tot**: -17.3 eV/f.u.
**Size of the total moment**: 0.000 μB/atom
**Formation energy from raw total energies**: -0.29 eV per atom